(a)
Density functional theory data (PBE) for a geometry-optimized SbAsC structure.

Density of states at the Fermi level (states/eV/atom): 0.115

a b c (Å): 3.132 6.327 6.664
angles (deg): 89.08 89.85 75.68
Space group P1 (No. 1)
Symmetry-distinct sites (fractional):
Sb1 0.000 0.000 0.000
Sb2 0.166 0.662 0.507
As1 0.429 0.137 0.450
As2 0.782 0.435 0.079
C1 0.010 0.976 0.332
C2 0.294 0.409 0.269

---

(b)
Density functional theory data (PBE) for a geometry-optimized SbAsC structure.

Density of states at the Fermi level (states/eV/atom): 0.209

a b c (Å): 3.1797 3.1797 6.7072
angles (deg): 90.00 90.00 120.00
Space group P3m1 (No. 156)
Symmetry-distinct sites (fractional):
Sb1 0.0000 0.0000 0.0000
As1 0.3333 0.6667 0.4688
C1 0.0000 0.0000 0.3330

---

The energy of each structure relative to the most stable one, in kJ/mol of atoms, is as follows: (a) 0.0; (b) 2.4.

---

(a)
Density functional theory data (PBE) for a geometry-optimized Cd2GaSn structure.

Density of states at the Fermi level (states/eV/atom): 0.350

a b c (Å): 3.4408 3.4408 9.3417
angles (deg): 90.00 90.00 120.00
Space group P-3m1 (No. 164)
Symmetry-distinct sites (fractional):
Cd1 0.3333 0.6667 0.2317
Ga1 0.0000 0.0000 0.0000
Sn1 0.0000 0.0000 0.5000

---

(b)
Density functional theory data (PBE) for a geometry-optimized Cd2GaSn structure.

Density of states at the Fermi level (states/eV/atom): 0.468

a b c (Å): 4.217 4.217 21.855
angles (deg): 90.00 90.00 90.00
Space group I-42d (No. 122)
Symmetry-distinct sites (fractional):
Cd1 0.244 0.250 0.125
Ga1 0.000 0.000 0.000
Sn1 0.000 0.000 0.500

---

The energy of each structure relative to the most stable one, in kJ/mol of atoms, is as follows: (a) 0.0; (b) 1.2.

---

(a)
Density functional theory data (PBE) for a geometry-optimized FeCo2Os structure.

Density of states at the Fermi level (states/eV/atom): 1.055

a b c (Å): 3.587 3.587 7.217
angles (deg): 90.00 90.00 90.00
Space group I4/mmm (No. 139)
Symmetry-distinct sites (fractional):
Fe1 0.000 0.000 0.000
Co1 0.000 0.500 0.250
Os1 0.000 0.000 0.500

---

(b)
Density functional theory data (PBE) for a geometry-optimized FeCo2Os structure.

Density of states at the Fermi level (states/eV/atom): 1.152

a b c (Å): 2.594 3.565 5.103
angles (deg): 90.00 90.00 90.00
Space group Pmmm (No. 47)
Symmetry-distinct sites (fractional):
Fe1 0.000 0.000 0.000
Co1 0.500 0.500 0.249
Os1 0.000 0.000 0.500

---

The energy of each structure relative to the most stable one, in kJ/mol of atoms, is as follows: (a) 0.0; (b) 0.9.

---

(a)
Density functional theory data (PBE) for a geometry-optimized BC3 structure.

Density of states at the Fermi level (states/eV/atom): 0.202

a b c (Å): 2.520 2.524 11.659
angles (deg): 90.00 90.00 90.00
Space group Pmm2 (No. 25)
Symmetry-distinct sites (fractional):
B1 0.000 0.000 0.000
B2 0.000 0.000 0.336
B3 0.500 0.500 0.510
C1 0.000 0.000 0.678
C2 0.000 0.500 0.089
C3 0.000 0.500 0.422
C4 0.000 0.500 0.757
C5 0.500 0.000 0.241
C6 0.500 0.000 0.605
C7 0.500 0.000 0.909
C8 0.500 0.500 0.166
C9 0.500 0.500 0.835

---

(b)
Density functional theory data (PBE) for a geometry-optimized BC3 structure.

Density of states at the Fermi level (states/eV/atom): 0.039

a b c (Å): 8.870 2.628 4.417
angles (deg): 90.00 101.39 90.00
Space group C2/m (No. 12)
Symmetry-distinct sites (fractional):
B1 0.042 0.000 0.290
C1 0.041 0.500 0.837
C2 0.218 0.500 0.907
C3 0.222 0.000 0.405

---

The energy of each structure relative to the most stable one, in kJ/mol of atoms, is as follows: (a) 0.0; (b) 4.3.

---

(a)
Density functional theory data (PBE) for a geometry-optimized BaMn2Mo structure.

Density of states at the Fermi level (states/eV/atom): 1.425

a b c (Å): 4.996 4.996 3.251
angles (deg): 90.00 90.00 90.00
Space group P4/mmm (No. 123)
Symmetry-distinct sites (fractional):
Ba1 0.000 0.000 0.000
Mn1 0.000 0.500 0.500
Mo1 0.500 0.500 0.000

---

(b)
Density functional theory data (PBE) for a geometry-optimized BaMn2Mo structure.

Density of states at the Fermi level (states/eV/atom): 1.203

a b c (Å): 4.322 3.298 13.117
angles (deg): 90.00 90.00 90.00
Space group Amm2 (No. 38)
Symmetry-distinct sites (fractional):
Ba1 0.000 0.000 0.000
Mn1 0.000 0.000 0.752
Mn2 0.500 0.000 0.646
Mo1 0.500 0.000 0.272

---

The energy of each structure relative to the most stable one, in kJ/mol of atoms, is as follows: (a) 36.0; (b) 0.0.

---

(a)
Density functional theory data (PBE) for a geometry-optimized Tl2TePd2 structure.

Density of states at the Fermi level (states/eV/atom): 0.466

a b c (Å): 7.407 7.407 4.162
angles (deg): 90.00 90.00 90.00
Space group P4/mbm (No. 127)
Symmetry-distinct sites (fractional):
Tl1 0.159 0.341 0.000
Te1 0.000 0.000 0.500
Pd1 0.144 0.644 0.500

---

(b)
Density functional theory data (PBE) for a geometry-optimized Tl2TePd2 structure.

Density of states at the Fermi level (states/eV/atom): 0.447

a b c (Å): 9.245 7.605 7.397
angles (deg): 90.00 107.88 90.00
Space group P2_1/c (No. 14)
Symmetry-distinct sites (fractional):
Tl1 0.004 0.143 0.300
Tl2 0.312 0.631 0.994
Te1 0.343 0.152 0.015
Pd1 0.149 0.576 0.600
Pd2 0.496 0.607 0.739

---

The energy of each structure relative to the most stable one, in kJ/mol of atoms, is as follows: (a) 10.0; (b) 0.0.